[1]
DFT (GGA-PBE) results for an optimized crystal structure of Cs4HAu3.

Output
**Mass density**: 5.03 Mg/m³
**Energy**: -37.38 eV per cell
**Space group**: Cmmm, No. 65

Cell: 10.2002 14.3518 5.0660 Å, 90.00 90.00 90.00°
Element x y z (fractional)
Cs  0.0000  0.2377  0.0000
Cs  0.0000  0.7623  0.0000
Cs  0.2316  0.0000  0.5000
Cs  0.2684  0.5000  0.5000
Cs  0.5000  0.2623  0.0000
Cs  0.5000  0.7377  0.0000
Cs  0.7316  0.5000  0.5000
Cs  0.7684  0.0000  0.5000
H  0.0000  0.0000  0.0000
H  0.5000  0.5000  0.0000
Au  0.0000  0.5000  0.0000
Au  0.2500  0.2500  0.5000
Au  0.2500  0.7500  0.5000
Au  0.5000  0.0000  0.0000
Au  0.7500  0.2500  0.5000
Au  0.7500  0.7500  0.5000

=====

[2]
DFT (GGA-PBE) results for an optimized crystal structure of KTbPaSe4.

Output
**Energy relative to the elements, uncorrected**: -1.5237 eV/atom
**Mass density**: 5.16 Mg/m³
**Space group**: Imma, No. 74

Cell: 8.7594 8.7594 8.7594 Å, 119.85 119.03 90.98°
Element x y z (fractional)
K  0.3801  0.1301  0.2500
K  0.6199  0.8699  0.7500
Tb  0.0000  0.0000  0.5000
Tb  0.0000  0.5000  0.0000
Pa  0.0000  0.5000  0.5000
Pa  0.5000  0.5000  0.0000
Se  0.1947  0.7317  0.4630
Se  0.2313  0.2683  0.9630
Se  0.2365  0.2749  0.5384
Se  0.2365  0.6981  0.9616
Se  0.7635  0.3019  0.0384
Se  0.7635  0.7251  0.4616
Se  0.7687  0.7317  0.0370
Se  0.8053  0.2683  0.5370

=====

[3]
DFT (GGA-PBE) results for an optimized crystal structure of Na5Zn2O4.

Output
**Energy relative to the elements, uncorrected**: -1.0550 eV/atom
**Mass density**: 2.86 Mg/m³
**Space group**: C2/m, No. 12

Cell: 8.9790 8.9790 6.4081 Å, 96.88 96.88 20.53°
Element x y z (fractional)
Na  0.0000  0.0000  0.0000
Na  0.2858  0.2858  0.6677
Na  0.3547  0.3547  0.1787
Na  0.6453  0.6453  0.8213
Na  0.7142  0.7142  0.3323
Zn  0.4303  0.4303  0.5405
Zn  0.5697  0.5697  0.4595
O  0.1512  0.1512  0.5086
O  0.4794  0.4794  0.2586
O  0.5206  0.5206  0.7414
O  0.8488  0.8488  0.4914

=====

[4]
DFT (GGA-PBE) results for an optimized crystal structure of Th2InAs2N2.

Output
**Energy relative to the elements, uncorrected**: -1.0117 eV/atom
**Mass density**: 8.59 Mg/m³
**Space group**: C2/m, No. 12

Cell: 11.8291 4.0724 6.8500 Å, 90.00 117.58 90.00°
Element x y z (fractional)
Th  0.1985  0.0000  0.2501
Th  0.3015  0.5000  0.7499
Th  0.6985  0.5000  0.2501
Th  0.8015  0.0000  0.7499
In  0.0000  0.0000  0.5000
In  0.5000  0.5000  0.5000
As  0.0382  0.5000  0.8307
As  0.4618  0.0000  0.1693
As  0.5382  0.0000  0.8307
As  0.9618  0.5000  0.1693
N  0.2066  0.0000  0.5974
N  0.2934  0.5000  0.4026
N  0.7066  0.5000  0.5974
N  0.7934  0.0000  0.4026

=====

[5]
DFT (GGA-PBE) results for an optimized crystal structure of HgAsBr.

Output
**Energy relative to the elements, uncorrected**: -0.1830 eV/atom
**Mass density**: 5.65 Mg/m³
**Space group**: P1, No. 1

Cell: 4.6608 4.9831 9.4283 Å, 88.15 78.34 77.16°
Element x y z (fractional)
Hg  0.0000  0.0000  0.0000
Hg  0.3067  0.4144  0.7312
As  0.7860  0.7446  0.8337
As  0.8274  0.0844  0.6342
Br  0.2130  0.2864  0.1514
Br  0.6769  0.8208  0.4631

=====

[6]
DFT (GGA-PBE) results for an optimized crystal structure of Ba2NdPt9.

Output
**Mass density**: 14.76 Mg/m³
**Energy of formation from the pure elements**: -0.68 eV/atom
**Space group**: R-3m, No. 166

Cell: 9.7416 9.7416 9.7416 Å, 33.04 33.04 33.04°
Element x y z (fractional)
Ba  0.1416  0.1416  0.1416
Ba  0.8584  0.8584  0.8584
Nd  0.0000  0.0000  0.0000
Pt  0.0797  0.5802  0.5802
Pt  0.3324  0.3324  0.3324
Pt  0.4198  0.4198  0.9203
Pt  0.4198  0.9203  0.4198
Pt  0.5000  0.5000  0.5000
Pt  0.5802  0.0797  0.5802
Pt  0.5802  0.5802  0.0797
Pt  0.6676  0.6676  0.6676
Pt  0.9203  0.4198  0.4198

=====

[7]
DFT (GGA-PBE) results for an optimized crystal structure of Na2TbInS4.

Output
**Energy relative to the elements, uncorrected**: -1.3312 eV/atom
**Mass density**: 4.14 Mg/m³
**Space group**: P2/m, No. 10

Cell: 6.7967 3.9243 7.1162 Å, 90.00 108.93 90.00°
Element x y z (fractional)
Na  0.0000  0.0000  0.0000
Na  0.5000  0.5000  0.0000
Tb  0.0000  0.5000  0.5000
In  0.5000  0.0000  0.5000
S  0.2459  0.0000  0.7294
S  0.2697  0.5000  0.2784
S  0.7303  0.5000  0.7216
S  0.7541  0.0000  0.2706

=====

[8]
DFT (GGA-PBE) results for an optimized crystal structure of ZrAl2Cu3.

Output
**Mass density**: 6.20 Mg/m³
**Energy of formation from the pure elements**: -0.27 eV/atom
**Space group**: P6/mmm, No. 191

Cell: 5.1079 5.1079 3.9827 Å, 90.00 90.00 120.00°
Element x y z (fractional)
Zr  0.0000  0.0000  0.0000
Al  0.3333  0.6667  0.0000
Al  0.6667  0.3333  0.0000
Cu  0.0000  0.5000  0.5000
Cu  0.5000  0.0000  0.5000
Cu  0.5000  0.5000  0.5000

=====

[9]
DFT (GGA-PBE) results for an optimized crystal structure of TaAs2Pt.

Output
**Mass density**: 12.73 Mg/m³
**Energy of formation from the pure elements**: 0.05 eV/atom
**Space group**: Immm, No. 71

Cell: 3.6494 4.6734 8.0438 Å, 90.00 90.00 90.00°
Element x y z (fractional)
Ta  0.0000  0.0000  0.0000
Ta  0.5000  0.5000  0.5000
As  0.0000  0.5000  0.2228
As  0.0000  0.5000  0.7772
As  0.5000  0.0000  0.2772
As  0.5000  0.0000  0.7228
Pt  0.0000  0.0000  0.5000
Pt  0.5000  0.5000  0.0000

=====

[10]
DFT (GGA-PBE) results for an optimized crystal structure of CoIrRu2.

Output
**Mass density**: 9.88 Mg/m³
**Energy of formation from the pure elements**: 1.09 eV/atom
**Space group**: I-42d, No. 122

Cell: 5.2989 5.2989 10.8575 Å, 90.00 90.00 90.00°
Element x y z (fractional)
Co  0.0000  0.0000  0.0000
Co  0.0000  0.5000  0.2500
Co  0.5000  0.0000  0.7500
Co  0.5000  0.5000  0.5000
Ir  0.0000  0.0000  0.5000
Ir  0.0000  0.5000  0.7500
Ir  0.5000  0.0000  0.2500
Ir  0.5000  0.5000  0.0000
Ru  0.2268  0.2500  0.1250
Ru  0.2500  0.7268  0.3750
Ru  0.2500  0.7732  0.8750
Ru  0.2732  0.2500  0.6250
Ru  0.7268  0.7500  0.6250
Ru  0.7500  0.2268  0.8750
Ru  0.7500  0.2732  0.3750
Ru  0.7732  0.7500  0.1250

=====

[11]
DFT (GGA-PBE) results for an optimized crystal structure of Hg2H6IrPt.

Output
**Mass density**: 11.77 Mg/m³
**Energy**: -34.04 eV per cell
**Space group**: C2/m, No. 12

Cell: 5.4051 5.4051 4.4709 Å, 90.41 90.41 59.13°
Element x y z (fractional)
Hg  0.1974  0.1974  0.0075
Hg  0.8026  0.8026  0.9925
H  0.1811  0.1811  0.5068
H  0.2840  0.7146  0.2982
H  0.2854  0.7160  0.7018
H  0.7146  0.2840  0.2982
H  0.7160  0.2854  0.7018
H  0.8189  0.8189  0.4932
Ir  0.0000  0.0000  0.5000
Pt  0.5000  0.5000  0.0000

=====

[12]
DFT (GGA-PBE) results for an optimized crystal structure of Mg2AsPd2.

Output
**Mass density**: 6.36 Mg/m³
**Energy of formation from the pure elements**: -0.38 eV/atom
**Space group**: P4/mbm, No. 127

Cell: 7.6381 7.6381 3.0106 Å, 90.00 90.00 90.00°
Element x y z (fractional)
Mg  0.1512  0.3488  0.0000
Mg  0.3488  0.8488  0.0000
Mg  0.6512  0.1512  0.0000
Mg  0.8488  0.6512  0.0000
As  0.0000  0.0000  0.0000
As  0.5000  0.5000  0.0000
Pd  0.1421  0.6421  0.5000
Pd  0.3579  0.1421  0.5000
Pd  0.6421  0.8579  0.5000
Pd  0.8579  0.3579  0.5000

=====

[13]
DFT (GGA-PBE) results for an optimized crystal structure of PmSm5ErSc2.

Output
**Mass density**: 6.58 Mg/m³
**Energy of formation from the pure elements**: 0.17 eV/atom
**Space group**: Cmc2_1, No. 36

Cell: 11.2462 11.2462 9.4467 Å, 90.00 90.00 150.83°
Element x y z (fractional)
Pm  0.1828  0.8172  0.5000
Pm  0.8172  0.1828  0.0000
Sm  0.0108  0.9892  0.4908
Sm  0.2668  0.7332  0.8094
Sm  0.3048  0.6952  0.1969
Sm  0.3921  0.6079  0.5279
Sm  0.4675  0.5325  0.2283
Sm  0.5325  0.4675  0.7283
Sm  0.6079  0.3921  0.0279
Sm  0.6952  0.3048  0.6969
Sm  0.7332  0.2668  0.3094
Sm  0.9892  0.0108  0.9908
Er  0.4022  0.5978  0.9002
Er  0.5978  0.4022  0.4002
Sc  0.1143  0.8857  0.8101
Sc  0.1326  0.8674  0.1864
Sc  0.8674  0.1326  0.6864
Sc  0.8857  0.1143  0.3101

=====

[14]
DFT (GGA-PBE) results for an optimized crystal structure of KBaCr2.

Output
**Mass density**: 3.06 Mg/m³
**Energy of formation from the pure elements**: 1.05 eV/atom
**Space group**: P4/mmm, No. 123

Cell: 4.1301 4.1301 8.9187 Å, 90.00 90.00 90.00°
Element x y z (fractional)
K  0.0000  0.0000  0.0000
Ba  0.0000  0.0000  0.5000
Cr  0.5000  0.5000  0.2712
Cr  0.5000  0.5000  0.7288

=====

[15]
DFT (GGA-PBE) results for an optimized crystal structure of SiPPb2.

Output
**Energy relative to the elements, uncorrected**: 0.5258 eV/atom
**Mass density**: 8.11 Mg/m³
**Space group**: I-4m2, No. 119

Cell: 4.2663 4.2663 10.6486 Å, 90.00 90.00 90.00°
Element x y z (fractional)
Si  0.0000  0.0000  0.0000
Si  0.5000  0.5000  0.5000
P  0.0000  0.5000  0.7500
P  0.5000  0.0000  0.2500
Pb  0.0000  0.0000  0.5000
Pb  0.0000  0.5000  0.2500
Pb  0.5000  0.0000  0.7500
Pb  0.5000  0.5000  0.0000

=====

[16]
DFT (GGA-PBE) results for an optimized crystal structure of Li2CrSi.

Output
**Energy relative to the elements, uncorrected**: 0.2944 eV/atom
**Mass density**: 2.94 Mg/m³
**Space group**: R-3m, No. 166

Cell: 2.5897 2.5897 27.3701 Å, 90.00 90.00 120.00°
Element x y z (fractional)
Li  0.0000  0.0000  0.2471
Li  0.0000  0.0000  0.7529
Li  0.3333  0.6667  0.4195
Li  0.3333  0.6667  0.9138
Li  0.6667  0.3333  0.0862
Li  0.6667  0.3333  0.5805
Cr  0.0000  0.0000  0.0000
Cr  0.3333  0.6667  0.6667
Cr  0.6667  0.3333  0.3333
Si  0.0000  0.0000  0.5000
Si  0.3333  0.6667  0.1667
Si  0.6667  0.3333  0.8333

=====

[17]
DFT (GGA-PBE) results for an optimized crystal structure of Mg2MnTcN4.

Output
**Energy relative to the elements, uncorrected**: -0.4342 eV/atom
**Mass density**: 5.56 Mg/m³
**Space group**: P2/m, No. 10

Cell: 5.1954 2.9491 5.3052 Å, 90.00 108.77 90.00°
Element x y z (fractional)
Mg  0.0000  0.0000  0.0000
Mg  0.5000  0.5000  0.0000
Mn  0.0000  0.5000  0.5000
Tc  0.5000  0.0000  0.5000
N  0.2362  0.0000  0.7291
N  0.2461  0.5000  0.2645
N  0.7539  0.5000  0.7355
N  0.7638  0.0000  0.2709

=====

[18]
DFT (GGA-PBE) results for an optimized crystal structure of Nd4Dy3Sc2.

Output
**Mass density**: 6.67 Mg/m³
**Energy of formation from the pure elements**: 0.09 eV/atom
**Space group**: P3m1, No. 156

Cell: 3.5583 3.5583 26.2160 Å, 90.00 90.00 120.00°
Element x y z (fractional)
Nd  0.0000  0.0000  0.0000
Nd  0.0000  0.0000  0.2232
Nd  0.3333  0.6667  0.3423
Nd  0.3333  0.6667  0.5676
Dy  0.0000  0.0000  0.4538
Dy  0.3333  0.6667  0.1098
Dy  0.3333  0.6667  0.7740
Sc  0.0000  0.0000  0.6726
Sc  0.0000  0.0000  0.8743

=====

[19]
DFT (GGA-PBE) results for an optimized crystal structure of MgBe2Zn.

Output
**Mass density**: 3.47 Mg/m³
**Energy of formation from the pure elements**: 0.32 eV/atom
**Space group**: I-4m2, No. 119

Cell: 3.8522 3.8522 6.9503 Å, 90.00 90.00 90.00°
Element x y z (fractional)
Mg  0.0000  0.0000  0.0000
Mg  0.5000  0.5000  0.5000
Be  0.0000  0.0000  0.5000
Be  0.0000  0.5000  0.2500
Be  0.5000  0.0000  0.7500
Be  0.5000  0.5000  0.0000
Zn  0.0000  0.5000  0.7500
Zn  0.5000  0.0000  0.2500

=====

[20]
DFT (GGA-PBE) results for an optimized crystal structure of YUPb2S6.

Output
**Energy relative to the elements, uncorrected**: -1.1559 eV/atom
**Mass density**: 5.68 Mg/m³
**Space group**: R3, No. 146

Cell: 7.3860 7.3860 7.3860 Å, 58.17 58.17 58.17°
Element x y z (fractional)
Y  0.0000  0.0000  0.0000
U  0.4973  0.4973  0.4973
Pb  0.2920  0.2920  0.2920
Pb  0.7946  0.7946  0.7946
S  0.1463  0.7193  0.3604
S  0.2353  0.6403  0.8433
S  0.3604  0.1463  0.7193
S  0.6403  0.8433  0.2353
S  0.7193  0.3604  0.1463
S  0.8433  0.2353  0.6403